[1]
## Tb4Tl2CdAg (GGA-PBE)

Data for a geometry-optimized Tb4Tl2CdAg structure.

Energy   -29.74 eV/f.u.
ΔE_f   -0.341 eV per atom

The structure in CIF format:
```
data_Tb4Tl2CdAg
_chemical_formula_sum 'Tb12 Tl6 Cd3 Ag3'
_space_group_name_H-M_alt 'R -3 m'
_space_group_IT_number 166
_space_group_name_Hall '-R 3 2"'
_cell_length_a 5.3172
_cell_length_b 5.3172
_cell_length_c 26.0370
_cell_angle_alpha 90.00
_cell_angle_beta 90.00
_cell_angle_gamma 120.00
loop_
_atom_site_label
_atom_site_fract_x
_atom_site_fract_y
_atom_site_fract_z
Tb1 0.0000 0.0000 0.1225
Tb2 0.0000 0.0000 0.3728
Tl1 0.0000 0.0000 0.2486
Cd1 0.0000 0.0000 0.5000
Ag1 0.0000 0.0000 0.0000
```

[2]
## Ta2ZnHOs (GGA-PBE)

Data for a geometry-optimized Ta2ZnHOs structure.

Energy   -39.63 eV/f.u.

The structure in CIF format:
```
data_Ta2ZnHOs
_chemical_formula_sum 'Ta2 Zn1 H1 Os1'
_space_group_name_H-M_alt 'P 4/m m m'
_space_group_IT_number 123
_space_group_name_Hall '-P 4 2'
_cell_length_a 4.1294
_cell_length_b 4.1294
_cell_length_c 3.9147
_cell_angle_alpha 90.00
_cell_angle_beta 90.00
_cell_angle_gamma 90.00
loop_
_atom_site_label
_atom_site_fract_x
_atom_site_fract_y
_atom_site_fract_z
Ta1 0.0000 0.5000 0.0000
Zn1 0.0000 0.0000 0.5000
H1 0.5000 0.5000 0.0000
Os1 0.5000 0.5000 0.5000
```

[3]
## Sm2Y2Rh3 (GGA-PBE)

Data for a geometry-optimized Sm2Y2Rh3 structure.

Energy   -48.64 eV/f.u.
ΔE_f   -0.603 eV per atom

The structure in CIF format:
```
data_Sm2Y2Rh3
_chemical_formula_sum 'Sm2 Y2 Rh3'
_space_group_name_H-M_alt 'P -1'
_space_group_IT_number 2
_cell_length_a 4.4468
_cell_length_b 5.9309
_cell_length_c 7.4908
_cell_angle_alpha 99.81
_cell_angle_beta 90.12
_cell_angle_gamma 111.98
loop_
_space_group_symop_operation_xyz
'x,y,z'
'-x,-y,-z'
loop_
_atom_site_label
_atom_site_fract_x
_atom_site_fract_y
_atom_site_fract_z
Sm1 0.1332 0.2642 0.3559
Y1 0.3636 0.7262 0.0772
Rh1 0.0000 0.0000 0.0000
Rh2 0.1934 0.3901 0.7308
```

[4]
## Pr7Nd2Er3 (GGA-PBE)

Data for a geometry-optimized Pr7Nd2Er3 structure.

Energy   -55.60 eV/f.u.
ΔE_f   0.090 eV per atom

The structure in CIF format:
```
data_Pr7Nd2Er3
_chemical_formula_sum 'Pr7 Nd2 Er3'
_space_group_name_H-M_alt 'P 1 2/m 1'
_space_group_IT_number 10
_cell_length_a 5.9587
_cell_length_b 3.6618
_cell_length_c 19.2705
_cell_angle_alpha 90.00
_cell_angle_beta 93.79
_cell_angle_gamma 90.00
loop_
_space_group_symop_operation_xyz
'x,y,z'
'-x,-y,-z'
'-x,y,-z'
'x,-y,z'
loop_
_atom_site_label
_atom_site_fract_x
_atom_site_fract_y
_atom_site_fract_z
Pr1 0.0000 0.0000 0.0000
Pr2 0.1729 0.5000 0.1816
Pr3 0.2584 0.5000 0.5351
Pr4 0.3304 0.0000 0.8561
Nd1 0.2980 0.5000 0.7017
Er1 0.2150 0.0000 0.3687
Er2 0.5000 0.5000 0.0000
```

[5]
## Li2ZrPd2 (GGA-PBE)

Data for a geometry-optimized Li2ZrPd2 structure.

Energy   -25.00 eV/f.u.
ΔE_f   -0.447 eV per atom

The structure in CIF format:
```
data_Li2ZrPd2
_chemical_formula_sum 'Li4 Zr2 Pd4'
_space_group_name_H-M_alt 'C m m m'
_space_group_IT_number 65
_space_group_name_Hall '-C 2 2'
_cell_length_a 3.3348
_cell_length_b 16.7886
_cell_length_c 3.2173
_cell_angle_alpha 90.00
_cell_angle_beta 90.00
_cell_angle_gamma 90.00
loop_
_atom_site_label
_atom_site_fract_x
_atom_site_fract_y
_atom_site_fract_z
Li1 0.0000 0.1840 0.0000
Zr1 0.0000 0.0000 0.0000
Pd1 0.0000 0.4045 0.5000
```

[6]
## NpFeCl6 (GGA-PBE)

Data for a geometry-optimized NpFeCl6 structure.

Formation energy from raw total energies   -1244 meV/atom
Energy   -42.44 eV/f.u.

The structure in CIF format:
```
data_NpFeCl6
_chemical_formula_sum 'Np2 Fe2 Cl12'
_space_group_name_H-M_alt 'C 1 2/m 1'
_space_group_IT_number 12
_cell_length_a 6.3148
_cell_length_b 12.5964
_cell_length_c 6.3073
_cell_angle_alpha 90.00
_cell_angle_beta 107.65
_cell_angle_gamma 90.00
loop_
_space_group_symop_operation_xyz
'x,y,z'
'-x,-y,-z'
'-x,y,-z'
'x,-y,z'
'x+1/2,y+1/2,z'
'-x+1/2,-y+1/2,-z'
'-x+1/2,y+1/2,-z'
'x+1/2,-y+1/2,z'
loop_
_atom_site_label
_atom_site_fract_x
_atom_site_fract_y
_atom_site_fract_z
Np1 0.0000 0.0000 0.0000
Fe1 0.0000 0.5000 0.5000
Cl1 0.2325 0.3611 0.7348
Cl2 0.2425 0.5000 0.2598
```

[7]
## Y3CdPd (GGA-PBE)

Data for a geometry-optimized Y3CdPd structure.

Energy   -26.30 eV/f.u.
ΔE_f   -0.161 eV per atom

The structure in CIF format:
```
data_Y3CdPd
_chemical_formula_sum 'Y3 Cd1 Pd1'
_space_group_name_H-M_alt 'P m -3 m'
_space_group_IT_number 221
_space_group_name_Hall '-P 4 2 3'
_cell_length_a 5.4138
_cell_length_b 5.4138
_cell_length_c 5.4138
_cell_angle_alpha 90.00
_cell_angle_beta 90.00
_cell_angle_gamma 90.00
loop_
_atom_site_label
_atom_site_fract_x
_atom_site_fract_y
_atom_site_fract_z
Y1 0.0000 0.0000 0.5000
Cd1 0.5000 0.5000 0.5000
Pd1 0.0000 0.0000 0.0000
```

[8]
## NiAg2P (GGA-PBE)

Data for a geometry-optimized NiAg2P structure.

Energy   -16.51 eV/f.u.
ΔE_f   0.096 eV per atom

The structure in CIF format:
```
data_NiAg2P
_chemical_formula_sum 'Ni2 Ag4 P2'
_space_group_name_H-M_alt 'I m m 2'
_space_group_IT_number 44
_cell_length_a 3.1755
_cell_length_b 4.4545
_cell_length_c 8.8659
_cell_angle_alpha 90.00
_cell_angle_beta 90.00
_cell_angle_gamma 90.00
loop_
_space_group_symop_operation_xyz
'x,y,z'
'-x,-y,z'
'-x,y,z'
'x,-y,z'
'x+1/2,y+1/2,z+1/2'
'-x+1/2,-y+1/2,z+1/2'
'-x+1/2,y+1/2,z+1/2'
'x+1/2,-y+1/2,z+1/2'
loop_
_atom_site_label
_atom_site_fract_x
_atom_site_fract_y
_atom_site_fract_z
Ni1 0.0000 0.0000 0.0000
Ag1 0.0000 0.0000 0.4412
Ag2 0.0000 0.5000 0.2306
P1 0.0000 0.5000 0.6638
```

[9]
## Mg2BiBr (GGA-PBE)

Data for a geometry-optimized Mg2BiBr structure.

Formation energy from raw total energies   -606 meV/atom
Energy   -11.17 eV/f.u.

The structure in CIF format:
```
data_Mg2BiBr
_chemical_formula_sum 'Mg4 Bi2 Br2'
_space_group_name_H-M_alt 'P 1'
_space_group_IT_number 1
_cell_length_a 4.8182
_cell_length_b 8.2560
_cell_length_c 8.4269
_cell_angle_alpha 119.30
_cell_angle_beta 105.07
_cell_angle_gamma 91.28
loop_
_space_group_symop_operation_xyz
'x,y,z'
loop_
_atom_site_label
_atom_site_fract_x
_atom_site_fract_y
_atom_site_fract_z
Mg1 0.0000 0.0000 0.0000
Mg2 0.0031 0.4040 0.9662
Mg3 0.4162 0.0478 0.6250
Mg4 0.6431 0.6555 0.2672
Bi1 0.1200 0.8129 0.2138
Bi2 0.5280 0.2307 0.0457
Br1 0.7202 0.7568 0.6319
Br2 0.8169 0.2581 0.6045
```

[10]
## GaCo3H (GGA-PBE)

Data for a geometry-optimized GaCo3H structure.

Energy   -27.13 eV/f.u.

The structure in CIF format:
```
data_GaCo3H
_chemical_formula_sum 'Ga6 Co18 H6'
_space_group_name_H-M_alt 'R -3 c'
_space_group_IT_number 167
_space_group_name_Hall '-R 3 2"c'
_cell_length_a 6.4866
_cell_length_b 6.4866
_cell_length_c 8.1627
_cell_angle_alpha 90.00
_cell_angle_beta 90.00
_cell_angle_gamma 120.00
loop_
_atom_site_label
_atom_site_fract_x
_atom_site_fract_y
_atom_site_fract_z
Ga1 0.0000 0.0000 0.0000
Co1 0.0000 0.2631 0.2500
H1 0.0000 0.0000 0.2500
```

[11]
## RbLi2CaAu (GGA-PBE)

Data for a geometry-optimized RbLi2CaAu structure.

Energy   -10.71 eV/f.u.
ΔE_f   -0.128 eV per atom

The structure in CIF format:
```
data_RbLi2CaAu
_chemical_formula_sum 'Rb1 Li2 Ca1 Au1'
_space_group_name_H-M_alt 'P 4/m m m'
_space_group_IT_number 123
_space_group_name_Hall '-P 4 2'
_cell_length_a 5.4679
_cell_length_b 5.4679
_cell_length_c 5.6865
_cell_angle_alpha 90.00
_cell_angle_beta 90.00
_cell_angle_gamma 90.00
loop_
_atom_site_label
_atom_site_fract_x
_atom_site_fract_y
_atom_site_fract_z
Rb1 0.0000 0.0000 0.0000
Li1 0.0000 0.5000 0.5000
Ca1 0.5000 0.5000 0.0000
Au1 0.5000 0.5000 0.5000
```

[12]
## Y4PaS5 (GGA-PBE)

Data for a geometry-optimized Y4PaS5 structure.

Formation energy from raw total energies   -1917 meV/atom
Energy   -75.16 eV/f.u.

The structure in CIF format:
```
data_Y4PaS5
_chemical_formula_sum 'Y8 Pa2 S10'
_space_group_name_H-M_alt 'I m m m'
_space_group_IT_number 71
_space_group_name_Hall '-I 2 2'
_cell_length_a 3.8819
_cell_length_b 5.5291
_cell_length_c 19.7407
_cell_angle_alpha 90.00
_cell_angle_beta 90.00
_cell_angle_gamma 90.00
loop_
_atom_site_label
_atom_site_fract_x
_atom_site_fract_y
_atom_site_fract_z
Y1 0.0000 0.0000 0.0985
Y2 0.0000 0.0000 0.3044
Pa1 0.0000 0.0000 0.5000
S1 0.0000 0.5000 0.0997
S2 0.0000 0.5000 0.2984
S3 0.0000 0.5000 0.5000
```

[13]
## GdSc2Sn (GGA-PBE)

Data for a geometry-optimized GdSc2Sn structure.

Energy   -31.90 eV/f.u.
ΔE_f   -0.289 eV per atom

The structure in CIF format:
```
data_GdSc2Sn
_chemical_formula_sum 'Gd4 Sc8 Sn4'
_space_group_name_H-M_alt 'F m -3 m'
_space_group_IT_number 225
_space_group_name_Hall '-F 4 2 3'
_cell_length_a 7.2785
_cell_length_b 7.2785
_cell_length_c 7.2785
_cell_angle_alpha 90.00
_cell_angle_beta 90.00
_cell_angle_gamma 90.00
loop_
_atom_site_label
_atom_site_fract_x
_atom_site_fract_y
_atom_site_fract_z
Gd1 0.0000 0.0000 0.0000
Sc1 0.2500 0.2500 0.2500
Sn1 0.0000 0.0000 0.5000
```

[14]
## SrTlPRu (GGA-PBE)

Data for a geometry-optimized SrTlPRu structure.

Energy   -20.14 eV/f.u.
ΔE_f   -0.350 eV per atom

The structure in CIF format:
```
data_SrTlPRu
_chemical_formula_sum 'Sr1 Tl1 P1 Ru1'
_space_group_name_H-M_alt 'P -6 m 2'
_space_group_IT_number 187
_space_group_name_Hall 'P -6 2'
_cell_length_a 5.0716
_cell_length_b 5.0716
_cell_length_c 4.4430
_cell_angle_alpha 90.00
_cell_angle_beta 90.00
_cell_angle_gamma 120.00
loop_
_atom_site_label
_atom_site_fract_x
_atom_site_fract_y
_atom_site_fract_z
Sr1 0.0000 0.0000 0.0000
Tl1 0.6667 0.3333 0.5000
P1 0.3333 0.6667 0.0000
Ru1 0.3333 0.6667 0.5000
```

[15]
## Li4CaTl7 (GGA-PBE)

Data for a geometry-optimized Li4CaTl7 structure.

Energy   -27.32 eV/f.u.
ΔE_f   -0.091 eV per atom

The structure in CIF format:
```
data_Li4CaTl7
_chemical_formula_sum 'Li8 Ca2 Tl14'
_space_group_name_H-M_alt 'C 1 2/m 1'
_space_group_IT_number 12
_cell_length_a 14.1624
_cell_length_b 5.8454
_cell_length_c 9.0122
_cell_angle_alpha 90.00
_cell_angle_beta 122.82
_cell_angle_gamma 90.00
loop_
_space_group_symop_operation_xyz
'x,y,z'
'-x,-y,-z'
'-x,y,-z'
'x,-y,z'
'x+1/2,y+1/2,z'
'-x+1/2,-y+1/2,-z'
'-x+1/2,y+1/2,-z'
'x+1/2,-y+1/2,z'
loop_
_atom_site_label
_atom_site_fract_x
_atom_site_fract_y
_atom_site_fract_z
Li1 0.0311 0.0000 0.2035
Li2 0.1902 0.0000 0.8370
Ca1 0.0000 0.5000 0.5000
Tl1 0.0000 0.0000 0.5000
Tl2 0.0691 0.5000 0.9120
Tl3 0.2134 0.5000 0.3924
Tl4 0.2254 0.0000 0.1789
```

[16]
## Sm2YTcN4 (GGA-PBE)

Data for a geometry-optimized Sm2YTcN4 structure.

Formation energy from raw total energies   -961 meV/atom
Energy   -67.26 eV/f.u.

The structure in CIF format:
```
data_Sm2YTcN4
_chemical_formula_sum 'Sm8 Y4 Tc4 N16'
_space_group_name_H-M_alt 'C m c m'
_space_group_IT_number 63
_space_group_name_Hall '-C 2c 2'
_cell_length_a 3.4582
_cell_length_b 11.8246
_cell_length_c 11.8932
_cell_angle_alpha 90.00
_cell_angle_beta 90.00
_cell_angle_gamma 90.00
loop_
_atom_site_label
_atom_site_fract_x
_atom_site_fract_y
_atom_site_fract_z
Sm1 0.0000 0.1321 0.0398
Y1 0.0000 0.3675 0.2500
Tc1 0.0000 0.3627 0.7500
N1 0.0000 0.0574 0.2500
N2 0.0000 0.2330 0.6356
N3 0.0000 0.5000 0.0000
```

[17]
## Al2Cd2Te (GGA-PBE)

Data for a geometry-optimized Al2Cd2Te structure.

Formation energy from raw total energies   160 meV/atom
Energy   -11.66 eV/f.u.

The structure in CIF format:
```
data_Al2Cd2Te
_chemical_formula_sum 'Al4 Cd4 Te2'
_space_group_name_H-M_alt 'P 4/m b m'
_space_group_IT_number 127
_space_group_name_Hall '-P 4 2ab'
_cell_length_a 7.4492
_cell_length_b 7.4492
_cell_length_c 4.3228
_cell_angle_alpha 90.00
_cell_angle_beta 90.00
_cell_angle_gamma 90.00
loop_
_atom_site_label
_atom_site_fract_x
_atom_site_fract_y
_atom_site_fract_z
Al1 0.1277 0.3723 0.0000
Cd1 0.1706 0.6706 0.5000
Te1 0.0000 0.0000 0.0000
```

[18]
## YV2CuH (GGA-PBE)

Data for a geometry-optimized YV2CuH structure.

Energy   -25.78 eV/f.u.

The structure in CIF format:
```
data_YV2CuH
_chemical_formula_sum 'Y1 V2 Cu1 H1'
_space_group_name_H-M_alt 'P 4/m m m'
_space_group_IT_number 123
_space_group_name_Hall '-P 4 2'
_cell_length_a 4.5607
_cell_length_b 4.5607
_cell_length_c 5.4202
_cell_angle_alpha 90.00
_cell_angle_beta 90.00
_cell_angle_gamma 90.00
loop_
_atom_site_label
_atom_site_fract_x
_atom_site_fract_y
_atom_site_fract_z
Y1 0.0000 0.0000 0.0000
V1 0.0000 0.5000 0.5000
Cu1 0.0000 0.0000 0.5000
H1 0.5000 0.5000 0.0000
```

[19]
## SrLiCo2 (GGA-PBE)

Data for a geometry-optimized SrLiCo2 structure.

Energy   -15.65 eV/f.u.
ΔE_f   0.539 eV per atom

The structure in CIF format:
```
data_SrLiCo2
_chemical_formula_sum 'Sr1 Li1 Co2'
_space_group_name_H-M_alt 'P 4/m m m'
_space_group_IT_number 123
_space_group_name_Hall '-P 4 2'
_cell_length_a 3.3867
_cell_length_b 3.3867
_cell_length_c 6.5182
_cell_angle_alpha 90.00
_cell_angle_beta 90.00
_cell_angle_gamma 90.00
loop_
_atom_site_label
_atom_site_fract_x
_atom_site_fract_y
_atom_site_fract_z
Sr1 0.0000 0.0000 0.0000
Li1 0.0000 0.0000 0.5000
Co1 0.5000 0.5000 0.3339
```

[20]
## AlNi5H2 (GGA-PBE)

Data for a geometry-optimized AlNi5H2 structure.

Energy   -40.18 eV/f.u.

The structure in CIF format:
```
data_AlNi5H2
_chemical_formula_sum 'Al2 Ni10 H4'
_space_group_name_H-M_alt 'I 4/m m m'
_space_group_IT_number 139
_space_group_name_Hall '-I 4 2'
_cell_length_a 3.5370
_cell_length_b 3.5370
_cell_length_c 12.0382
_cell_angle_alpha 90.00
_cell_angle_beta 90.00
_cell_angle_gamma 90.00
loop_
_atom_site_label
_atom_site_fract_x
_atom_site_fract_y
_atom_site_fract_z
Al1 0.0000 0.0000 0.0000
Ni1 0.0000 0.0000 0.5000
Ni2 0.0000 0.5000 0.1492
H1 0.0000 0.0000 0.3338
```